This record from Alexandria describes a relaxed La3Sm2Cd3 crystal. The functional is PBE.

Lattice parameters (Å, degrees): 8.975 8.975 3.452 90.00 90.00 120.00
Fractional positions:
La (0.000, 0.759, 0.000)
La (0.241, 0.241, 0.000)
La (0.759, 0.000, 0.000)
Sm (0.333, 0.667, 0.000)
Sm (0.667, 0.333, 0.000)
Cd (0.000, 0.390, 0.500)
Cd (0.390, 0.000, 0.500)
Cd (0.610, 0.610, 0.500)

Output
* V: 240.8 Å³ per cell
* SG: P-62m (189)
* energy relative to the elements: -178 meV/atom

This record from Alexandria describes a relaxed La7SmCd4 crystal. The functional is PBE.

Lattice parameters (Å, degrees): 6.511 6.786 8.922 103.86 91.74 95.07
Fractional positions:
La (0.000, 0.000, 0.000)
La (0.168, 0.709, 0.620)
La (0.228, 0.498, 0.929)
La (0.334, 0.187, 0.583)
La (0.666, 0.813, 0.417)
La (0.772, 0.502, 0.071)
La (0.832, 0.291, 0.380)
Sm (0.500, 0.000, 0.000)
Cd (0.173, 0.815, 0.277)
Cd (0.326, 0.382, 0.268)
Cd (0.674, 0.618, 0.732)
Cd (0.827, 0.185, 0.723)

Output
* V: 380.7 Å³ per cell
* SG: P-1 (2)
* energy relative to the elements: -131 meV/atom

This record from Alexandria describes a relaxed La7SmCd4 crystal. The functional is PBE.

Lattice parameters (Å, degrees): 8.218 8.218 10.215 120.23 120.23 42.87
Fractional positions:
La (0.000, 0.000, 0.000)
La (0.237, 0.237, 0.695)
La (0.294, 0.294, 0.109)
La (0.434, 0.434, 0.595)
La (0.566, 0.566, 0.405)
La (0.706, 0.706, 0.891)
La (0.763, 0.763, 0.305)
Sm (0.500, 0.500, 0.000)
Cd (0.041, 0.041, 0.715)
Cd (0.182, 0.182, 0.346)
Cd (0.818, 0.818, 0.654)
Cd (0.959, 0.959, 0.285)

Output
* V: 394.8 Å³ per cell
* SG: C2/m (12)
* energy relative to the elements: -57 meV/atom

Number 1: density of states at the Fermi level 10.0 states/eV/cell. Number 2: density of states at the Fermi level 15.1 states/eV/cell. Number 3: density of states at the Fermi level 15.1 states/eV/cell.